Record 1
! Zr2Pt2O7 (GGA-PBE, optimized geometry); values from VASP
! Raw formation energy   -1.76 eV per atom
! SG   No. 227
&SYSTEM
  ibrav = 0, nat = 22, ntyp = 3
/
ATOMIC_SPECIES
Zr 91.22 Zr.upf
Pt 195.08 Pt.upf
O 16.00 O.upf
CELL_PARAMETERS angstrom
6.220 0.000 3.591
2.073 5.864 3.591
0.000 0.000 7.182
ATOMIC_POSITIONS crystal
Zr 0.625 0.625 0.625
Zr 0.625 0.625 0.125
Zr 0.625 0.125 0.625
Zr 0.125 0.625 0.625
Pt 0.625 0.125 0.125
Pt 0.125 0.625 0.125
Pt 0.125 0.125 0.625
Pt 0.125 0.125 0.125
O 0.237 0.237 0.763
O 0.237 0.763 0.237
O 0.487 0.013 0.487
O 0.487 0.487 0.013
O 0.750 0.750 0.750
O 0.763 0.237 0.237
O 0.487 0.013 0.013
O 0.013 0.487 0.487
O 0.013 0.013 0.487
O 0.013 0.487 0.013
O 0.237 0.763 0.763
O 0.500 0.500 0.500
O 0.763 0.237 0.763
O 0.763 0.763 0.237

=====

Record 2
! La4Nd3Dy5 (GGA-PBE, optimized geometry); values from VASP
! SG   No. 12
! Energy of formation from the pure elements   207 meV per atom
&SYSTEM
  ibrav = 0, nat = 12, ntyp = 3
/
ATOMIC_SPECIES
La 138.91 La.upf
Nd 144.24 Nd.upf
Dy 162.50 Dy.upf
CELL_PARAMETERS angstrom
6.071 0.000 0.000
3.035 7.725 -2.692
3.035 -0.892 9.300
ATOMIC_POSITIONS crystal
La 0.859 0.226 0.055
La 0.173 0.039 0.616
La 0.827 0.961 0.384
La 0.141 0.774 0.945
Nd 0.522 0.690 0.266
Nd 0.000 0.500 0.500
Nd 0.478 0.310 0.734
Dy 0.628 0.942 0.801
Dy 0.500 0.500 0.500
Dy 0.214 0.457 0.115
Dy 0.786 0.543 0.885
Dy 0.372 0.058 0.199

=====

Record 3
! Hf7TlBi2H2 (GGA-PBE, optimized geometry); values from VASP
! SG   No. 12
&SYSTEM
  ibrav = 0, nat = 12, ntyp = 4
/
ATOMIC_SPECIES
Hf 178.49 Hf.upf
Tl 204.38 Tl.upf
Bi 208.98 Bi.upf
H 1.01 H.upf
CELL_PARAMETERS angstrom
4.329 0.002 0.116
0.007 4.329 0.116
2.434 2.431 12.466
ATOMIC_POSITIONS crystal
Hf 0.500 0.500 0.000
Hf 0.242 0.242 0.397
Hf 0.758 0.758 0.603
Hf 0.882 0.380 0.188
Hf 0.380 0.882 0.188
Hf 0.620 0.118 0.812
Hf 0.118 0.620 0.812
Tl 0.000 0.000 0.000
Bi 0.765 0.765 0.370
Bi 0.235 0.235 0.630
H 0.606 0.606 0.831
H 0.394 0.394 0.169

=====

Record 4
! Ac3Pd4Pt2Pb2 (GGA-PBE, optimized geometry); values from VASP
! SG   No. 164
! Energy of formation from the pure elements   -703 meV per atom
&SYSTEM
  ibrav = 0, nat = 11, ntyp = 4
/
ATOMIC_SPECIES
Ac 227.00 Ac.upf
Pd 106.42 Pd.upf
Pt 195.08 Pt.upf
Pb 207.20 Pb.upf
CELL_PARAMETERS angstrom
-3.680 0.877 2.709
-0.363 -3.037 -3.506
4.157 -11.195 9.267
ATOMIC_POSITIONS crystal
Ac 0.000 0.000 0.740
Ac 0.000 0.000 0.000
Ac 0.000 0.000 0.260
Pd 0.667 0.333 0.135
Pd 0.333 0.667 0.865
Pd 0.667 0.333 0.622
Pd 0.333 0.667 0.378
Pt 0.667 0.333 0.864
Pt 0.333 0.667 0.136
Pb 0.667 0.333 0.432
Pb 0.333 0.667 0.568

=====

Table of uncorrected energy (eV per cell), in record order: -166.4; -54.5; -88.2; -60.3